VASP calculation (PBE) on a relaxed structure of TbHo2Tl4.

Cell and atoms, written as CIF:
```
data_TbHo2Tl4
_chemical_formula_sum 'Tb2 Ho4 Tl8'
_symmetry_space_group_name_H-M 'I 4/m m m'
_symmetry_Int_Tables_number 139
_symmetry_space_group_name_Hall '-I 4 2'
_cell_length_a 7.505
_cell_length_b 7.505
_cell_length_c 7.417
_cell_angle_alpha 90.00
_cell_angle_beta 90.00
_cell_angle_gamma 90.00
loop_
_atom_site_label
_atom_site_type_symbol
_atom_site_fract_x
_atom_site_fract_y
_atom_site_fract_z
_atom_site_occupancy
Tb1 Tb 0.000 0.000 0.000 1
Ho1 Ho 0.000 0.500 0.000 1
Tl1 Tl 0.250 0.250 0.250 1
```

Computed properties:
The calculation puts the formation energy from the elements at -0.22 eV/atom. The value obtained for the energy above the most stable polymorph in this dataset is 0.000 eV per atom.